Li2Ce2DyIn5, optimized geometry, DFT PBE; formation enthalpy at 0 K = -0.3520 eV/atom; electronic total energy = -3.75 eV per atom; N(E_F) = 35.03 states/eV per cell; V = 243 Å³/f.u.; space-group type = P4/mbm, No. 127
1.0
10.398 0.000 0.000
0.000 10.398 0.000
0.000 0.000 4.502
Li Ce Dy In
4 4 2 10
direct
0.116 0.384 0.000 Li
0.384 0.884 0.000 Li
0.616 0.116 0.000 Li
0.884 0.616 0.000 Li
0.179 0.679 0.000 Ce
0.321 0.179 0.000 Ce
0.679 0.821 0.000 Ce
0.821 0.321 0.000 Ce
0.000 0.000 0.000 Dy
0.500 0.500 0.000 Dy
0.000 0.500 0.500 In
0.068 0.212 0.500 In
0.212 0.932 0.500 In
0.288 0.432 0.500 In
0.432 0.712 0.500 In
0.500 0.000 0.500 In
0.568 0.288 0.500 In
0.712 0.568 0.500 In
0.788 0.068 0.500 In
0.932 0.788 0.500 In